# 1
This record from Alexandria describes a relaxed structure of Pa2BeGaN5. The functional is PBE-GGA.

DFT total energy   -8.4967 eV/atom
V   102 Å³/f.u.
SG   Cmc2_1, No. 36

```
Pa2BeGaN5
1.0
3.288 0.000 0.000
-1.644 6.568 0.000
0.000 0.000 9.457
Pa N Ga Be
4 10 2 2
Direct
0.121 0.241 0.690 Pa
0.872 0.744 0.795 Pa
0.879 0.759 0.190 Pa
0.128 0.256 0.295 Pa
0.640 0.280 0.517 N
0.494 0.988 0.793 N
0.703 0.406 0.160 N
0.697 0.394 0.850 N
0.360 0.720 0.017 N
0.962 0.925 0.540 N
0.506 0.012 0.293 N
0.297 0.594 0.660 N
0.038 0.075 0.040 N
0.303 0.606 0.350 N
0.808 0.616 0.497 Ga
0.192 0.384 0.997 Ga
0.496 0.992 0.481 Be
0.504 0.008 0.981 Be
```

# 2
This record from Alexandria describes a relaxed structure of Cs2MgSn3Pb4. The functional is PBE-GGA.

ΔH_f (0 K)   -1.3 eV/f.u.
V   371 Å³/f.u.
SG   P-4m2, No. 115

```
Cs2MgSn3Pb4
1.0
-0.408 4.106 -3.225
0.230 -3.218 -4.126
-13.456 -1.196 0.181
Pb Mg Cs Sn
4 1 2 3
Direct
0.500 0.000 0.627 Pb
0.000 0.500 0.373 Pb
0.500 0.500 0.000 Pb
0.000 0.000 0.000 Pb
0.500 0.500 0.500 Mg
0.000 0.500 0.749 Cs
0.500 0.000 0.251 Cs
0.000 0.000 0.500 Sn
0.000 0.500 0.132 Sn
0.500 0.000 0.868 Sn
```

# 3
This record from Alexandria describes a relaxed structure of La3ZrC. The functional is PBE-GGA.

ΔH_f (0 K)   8.0 eV/f.u.
V   170 Å³/f.u.
SG   Pm-3m, No. 221

```
La3ZrC
1.0
-2.819 -1.100 4.635
2.643 -4.842 0.459
3.963 2.447 2.991
Zr C La
1 1 3
Direct
0.000 0.000 0.000 Zr
0.500 0.500 0.500 C
0.000 0.000 0.500 La
0.500 0.000 0.000 La
0.000 0.500 0.000 La
```

- The highest V belongs to which entry?
  Cs2MgSn3Pb4